A relaxed Er4TlAuSe2 crystal. Source: Alexandria, functional PBE.

Results
D(E_F) (states/eV/cell): 3.5
ΔE_f (raw) (eV per atom): -1.11

Unit cell a=6.8789 b=3.9378 c=7.8432 alpha=90.00 beta=107.07 gamma=90.00
Atoms (fractional coordinates):
Er (0.2366, 0.0000, 0.2299)
Er (0.2417, 0.5000, 0.7576)
Er (0.7583, 0.5000, 0.2424)
Er (0.7634, 0.0000, 0.7701)
Tl (0.5000, 0.5000, 0.5000)
Au (0.0000, 0.0000, 0.5000)
Se (0.0000, 0.5000, 0.0000)
Se (0.5000, 0.0000, 0.0000)